No. 1
AlPdCl2 | PBE | relaxed

Computed properties:
Raw formation energy, eV/atom: -0.0308
SG: Fm-3m (225)
Calculated density, g/cm3: 4.6

Unit cell a=6.646 b=6.646 c=6.646 alpha=90.00 beta=90.00 gamma=90.00
Sites, in units of the cell vectors:
Al1 0.000 0.000 0.000
Al2 0.000 0.500 0.500
Al3 0.500 0.000 0.500
Al4 0.500 0.500 0.000
Pd1 0.000 0.000 0.500
Pd2 0.000 0.500 0.000
Pd3 0.500 0.000 0.000
Pd4 0.500 0.500 0.500
Cl1 0.250 0.250 0.250
Cl2 0.250 0.250 0.750
Cl3 0.250 0.750 0.250
Cl4 0.250 0.750 0.750
Cl5 0.750 0.250 0.250
Cl6 0.750 0.250 0.750
Cl7 0.750 0.750 0.250
Cl8 0.750 0.750 0.750

No. 2
AlPd3Cl | PBE | relaxed

Computed properties:
Raw formation energy, eV/atom: 0.2279
SG: Pm-3m (221)
Calculated density, g/cm3: 6.3

Unit cell a=4.660 b=4.660 c=4.660 alpha=90.00 beta=90.00 gamma=90.00
Sites, in units of the cell vectors:
Al1 0.000 0.000 0.000
Pd1 0.000 0.000 0.500
Pd2 0.000 0.500 0.000
Pd3 0.500 0.000 0.000
Cl1 0.500 0.500 0.500